No. 1
First-principles (PBE) data for a relaxed TbCo5Ge3 crystal, as listed in Alexandria.

* V: 14.5 A^3/atom
* spin magnetization: 2.381 μB/f.u.
* DOS at the Fermi energy: 9.3 states/eV/f.u.
* ΔH_f (0 K): -315 meV/atom
* E: -6.316 eV/atom

Lattice parameters (Å, degrees): 3.8161 6.3644 11.2339 90.00 90.00 107.45
With the nearest neighbours (Å) after each atom.
Atoms (fractional coordinates):
Co 0.1905 0.3809 0.9375  4 Ge 2.27-2.44, 1 Co 2.42
Co 0.0000 0.0000 0.5000  6 Co 2.42-2.56, 4 Ge 2.49
Co 0.4497 0.8994 0.3574  4 Ge 2.35, 3 Co 2.41-2.56
Co 0.0000 0.0000 0.0000  6 Co 2.42-2.56, 4 Ge 2.49
Co 0.8095 0.6191 0.0625  4 Ge 2.27-2.44, 1 Co 2.42
Co 0.5503 0.1006 0.6426  4 Ge 2.35, 3 Co 2.41-2.56
Co 0.5503 0.1006 0.8574  4 Ge 2.35, 3 Co 2.41-2.56
Co 0.8095 0.6191 0.4375  4 Ge 2.27-2.44, 1 Co 2.42
Co 0.4497 0.8994 0.1426  4 Ge 2.35, 3 Co 2.41-2.56
Co 0.1905 0.3809 0.5625  4 Ge 2.27-2.44, 1 Co 2.42
Ge 0.6232 0.2464 0.4491  7 Co 2.27-2.49
Ge 0.6232 0.2464 0.0509  7 Co 2.27-2.49
Ge 0.3768 0.7536 0.5509  7 Co 2.27-2.49
Ge 0.3768 0.7536 0.9491  7 Co 2.27-2.49
Ge 0.8949 0.7898 0.2500  6 Co 2.35
Ge 0.1051 0.2102 0.7500  6 Co 2.35
Tb 0.1829 0.3658 0.2500  6 Ge 3.03-3.20, 4 Co 3.23
Tb 0.8171 0.6342 0.7500  6 Ge 3.03-3.20, 4 Co 3.23

=====

No. 2
First-principles (PBE) data for a relaxed CaMnP2 crystal, as listed in Alexandria.

* V: 15.3 A^3/atom
* spin magnetization: 0.000 μB/f.u.
* offset from the most stable computed form: 69.14 kJ/mol of atoms
* DOS at the Fermi energy: 3.2 states/eV/f.u.
* ΔH_f (0 K): -39 meV/atom
* E: -5.537 eV/atom

Lattice parameters (Å, degrees): 4.4280 4.4280 4.4280 60.00 60.00 60.00
With the nearest neighbours (Å) after each atom.
Atoms (fractional coordinates):
Ca 0.0000 0.0000 0.0000  8 P 2.71
P 0.2500 0.2500 0.2500  4 Mn 2.71, 4 Ca 2.71
P 0.7500 0.7500 0.7500  4 Mn 2.71, 4 Ca 2.71
Mn 0.5000 0.5000 0.5000  8 P 2.71

=====

No. 3
First-principles (PBE) data for a relaxed VNi2H crystal, as listed in Alexandria.

* V: 9.5 A^3/atom
* spin magnetization: 0.000 μB/f.u.
* offset from the most stable computed form: 0.00 kJ/mol of atoms
* DOS at the Fermi energy: 3.7 states/eV/f.u.
* E: -5.937 eV/atom

Lattice parameters (Å, degrees): 2.4780 2.4780 6.1580 90.00 90.00 90.00
With the nearest neighbours (Å) after each atom.
Atoms (fractional coordinates):
V 0.5000 0.5000 0.0000  4 V 2.48, 8 Ni 2.57
Ni 0.0000 0.0000 0.6946  4 H 2.12
Ni 0.0000 0.0000 0.3054  4 H 2.12
H 0.5000 0.5000 0.5000  8 Ni 2.12

=====

No. 4
First-principles (PBE) data for a relaxed MgCr2Br crystal, as listed in Alexandria.

* V: 20.1 A^3/atom
* spin magnetization: 0.853 μB/f.u.
* offset from the most stable computed form: 3.45 kJ/mol of atoms
* DOS at the Fermi energy: 1.9 states/eV/f.u.
* formation energy without anion corrections: 0.22 eV/atom
* E: -5.410 eV/atom

Lattice parameters (Å, degrees): 3.2752 3.2752 7.4817 90.00 90.00 90.00
With the nearest neighbours (Å) after each atom.
Atoms (fractional coordinates):
Cr 0.0000 0.0000 0.0475  4 Cr 2.57, 4 Br 2.85
Cr 0.5000 0.5000 0.1953  4 Cr 2.57, 1 Br 2.77
Br 0.5000 0.5000 0.8247  5 Cr 2.77-2.85
Mg 0.0000 0.0000 0.4325  5 Cr 2.88-2.92

=====

No. 5
First-principles (PBE) data for a relaxed CaTaRh crystal, as listed in Alexandria.

* V: 22.1 A^3/atom
* spin magnetization: 0.003 μB/f.u.
* offset from the most stable computed form: 25.69 kJ/mol of atoms
* DOS at the Fermi energy: 5.3 states/eV/f.u.
* ΔH_f (0 K): -37 meV/atom
* E: -7.105 eV/atom

Lattice parameters (Å, degrees): 6.3793 6.3793 6.3793 149.66 149.53 43.53
With the nearest neighbours (Å) after each atom.
Atoms (fractional coordinates):
Ta 0.2908 0.2908 0.0000  4 Rh 2.58
Ca 0.0062 0.0062 0.0000  5 Rh 3.32-3.59, 4 Ca 3.34-3.35, 5 Ta 3.37-3.48
Rh 0.7030 0.7030 0.0000  4 Ta 2.58

=====

No. 6
First-principles (PBE) data for a relaxed IrPb2W crystal, as listed in Alexandria.

* V: 25.2 A^3/atom
* spin magnetization: 0.000 μB/f.u.
* offset from the most stable computed form: 17.03 kJ/mol of atoms
* DOS at the Fermi energy: 2.8 states/eV/f.u.
* ΔH_f (0 K): 462 meV/atom
* E: -6.846 eV/atom

Lattice parameters (Å, degrees): 4.4245 4.4245 7.4554 81.96 81.96 44.24
With the nearest neighbours (Å) after each atom.
Atoms (fractional coordinates):
Ir 0.7677 0.7677 0.6736  3 W 2.47-2.52
Pb 0.0171 0.0171 0.9355  3 Ir 3.03-3.10, 2 W 3.19, 2 Pb 3.33
Pb 0.2287 0.2287 0.3134  3 W 3.07-3.10, 2 Ir 3.22, 2 Pb 3.33
W 0.4865 0.4865 0.5775  3 Ir 2.47-2.52

=====

No. 7
First-principles (PBE) data for a relaxed IrRu crystal, as listed in Alexandria.

* V: 14.7 A^3/atom
* spin magnetization: 0.664 μB/f.u.
* offset from the most stable computed form: 44.59 kJ/mol of atoms
* DOS at the Fermi energy: 3.0 states/eV/f.u.
* ΔH_f (0 K): 407 meV/atom
* E: -8.661 eV/atom

Lattice parameters (Å, degrees): 3.3057 3.3057 5.3972 90.00 90.00 90.00
With the nearest neighbours (Å) after each atom.
Atoms (fractional coordinates):
Ru 0.0000 0.0000 0.4995  6 Ir 2.69-2.71, 4 Ru 2.70
Ru 0.5000 0.5000 0.7505  6 Ir 2.69-2.71, 4 Ru 2.70
Ir 0.5000 0.5000 0.2492  6 Ru 2.69-2.71, 4 Ir 2.69
Ir 0.0000 0.0000 0.0008  6 Ru 2.69-2.71, 4 Ir 2.69

=====

No. 8
First-principles (PBE) data for a relaxed ZnFeP2 crystal, as listed in Alexandria.

* V: 14.9 A^3/atom
* spin magnetization: 0.000 μB/f.u.
* DOS at the Fermi energy: 1.5 states/eV/f.u.
* ΔH_f (0 K): -41 meV/atom
* E: -5.180 eV/atom

Lattice parameters (Å, degrees): 2.6356 3.5480 6.3932 90.00 90.00 90.00
With the nearest neighbours (Å) after each atom.
Atoms (fractional coordinates):
P 0.0000 0.0000 0.8368  4 Fe 2.29, 1 Zn 2.37
P 0.5000 0.5000 0.2661  1 Fe 2.14
Zn 0.0000 0.0000 0.4658  5 P 2.37-2.55, 2 Zn 2.64
Fe 0.5000 0.5000 0.9312  5 P 2.14-2.29

=====

No. 9
First-principles (PBE) data for a relaxed CrCdAs2 crystal, as listed in Alexandria.

* V: 18.9 A^3/atom
* spin magnetization: 3.482 μB/f.u.
* DOS at the Fermi energy: 1.5 states/eV/f.u.
* ΔH_f (0 K): 266 meV/atom
* E: -4.693 eV/atom

Lattice parameters (Å, degrees): 4.9200 4.9200 4.9200 125.83 125.83 80.16
With the nearest neighbours (Å) after each atom.
Atoms (fractional coordinates):
As 0.5000 0.5000 0.0000  4 Cr 2.93, 4 Cd 2.93, 4 As 3.17
As 0.0000 0.0000 0.0000  4 Cd 2.93, 4 Cr 2.93, 4 As 3.17
Cr 0.7500 0.2500 0.5000  8 As 2.93, 4 Cd 3.17
Cd 0.2500 0.7500 0.5000  8 As 2.93, 4 Cr 3.17

=====

No. 10
First-principles (PBE) data for a relaxed Ba2Cd4InSn3 crystal, as listed in Alexandria.

* V: 29.9 A^3/atom
* spin magnetization: 0.000 μB/f.u.
* DOS at the Fermi energy: 2.6 states/eV/f.u.
* ΔH_f (0 K): -402 meV/atom
* E: -2.627 eV/atom

Lattice parameters (Å, degrees): 4.9129 4.9129 12.3702 90.00 90.00 90.00
With the nearest neighbours (Å) after each atom.
Atoms (fractional coordinates):
Sn 0.0000 0.0000 0.5000  4 Cd 2.97
Sn 0.0000 0.5000 0.1349  5 Cd 2.84-2.97
Sn 0.5000 0.0000 0.8651  5 Cd 2.84-2.97
Ba 0.0000 0.5000 0.7540  6 Sn 3.74-3.99, 8 Cd 3.77-3.91, 2 In 3.99
Ba 0.5000 0.0000 0.2460  6 Sn 3.74-3.99, 8 Cd 3.77-3.91, 2 In 3.99
Cd 0.0000 0.0000 0.0000  4 Sn 2.97
Cd 0.0000 0.5000 0.3646  3 Sn 2.84-2.97, 2 In 2.97
Cd 0.5000 0.0000 0.6354  3 Sn 2.84-2.97, 2 In 2.97
Cd 0.5000 0.5000 0.0000  4 Sn 2.97
In 0.5000 0.5000 0.5000  4 Cd 2.97

=====

No. 11
First-principles (PBE) data for a relaxed Sm2ErTc crystal, as listed in Alexandria.

* V: 28.3 A^3/atom
* spin magnetization: 0.000 μB/f.u.
* offset from the most stable computed form: 38.35 kJ/mol of atoms
* DOS at the Fermi energy: 5.1 states/eV/f.u.
* ΔH_f (0 K): 350 meV/atom
* E: -5.742 eV/atom

Lattice parameters (Å, degrees): 3.4547 3.4547 11.1429 81.08 81.08 60.00
With the nearest neighbours (Å) after each atom.
Atoms (fractional coordinates):
Sm 0.8963 0.8963 0.3112  3 Tc 2.87
Sm 0.1037 0.1037 0.6888  3 Tc 2.87
Er 0.0000 0.0000 0.0000  2 Sm 3.41, 6 Er 3.45
Tc 0.5000 0.5000 0.5000  6 Sm 2.87

=====

No. 12
First-principles (PBE) data for a relaxed V2CoGePd crystal, as listed in Alexandria.

* V: 18.9 A^3/atom
* spin magnetization: 1.663 μB/f.u.
* DOS at the Fermi energy: 7.6 states/eV/f.u.
* ΔH_f (0 K): 1082 meV/atom
* E: -5.949 eV/atom

Lattice parameters (Å, degrees): 4.5791 4.5095 4.5791 90.00 90.00 90.00
With the nearest neighbours (Å) after each atom.
Atoms (fractional coordinates):
Pd 0.0000 0.5000 0.0000  2 Ge 2.25
Co 0.5000 0.5000 0.5000  8 V 3.21, 4 Pd 3.24
V 0.0000 0.0000 0.5000  2 Ge 2.29
V 0.5000 0.0000 0.0000  2 Ge 2.29
Ge 0.0000 0.0000 0.0000  2 Pd 2.25, 4 V 2.29